w.
First-principles (PBE) data for a relaxed MnCuAg2 crystal, as listed in the Alexandria database.

Unit cell a=2.7831 b=4.6573 c=4.9452 alpha=90.00 beta=93.79 gamma=90.00
Positions (direct):
Mn  0.0000  0.0000  0.0000
Cu  0.5000  0.0000  0.5000
Ag  0.2645  0.5000  0.7472
Ag  0.7355  0.5000  0.2528

Output
**Space group**: P2/m, No. 10

=====

x.
First-principles (PBE) data for a relaxed MnCuAg2 crystal, as listed in the Alexandria database.

Unit cell a=4.9066 b=4.9066 c=4.8137 alpha=102.70 beta=102.70 gamma=34.05
Positions (direct):
Mn  0.0000  0.0000  0.0000
Cu  0.7324  0.7324  0.2416
Ag  0.2450  0.2450  0.7570
Ag  0.4823  0.4823  0.4805

Output
**Space group**: Cm, No. 8

=====

List of relative energies, unit meV/atom: w 53; x 0

=====

w.
First-principles (PBE) data for a relaxed Mn2CuAg crystal, as listed in the Alexandria database.

Unit cell a=2.9559 b=3.0006 c=6.4470 alpha=90.00 beta=90.00 gamma=90.00
Positions (direct):
Mn  0.0000  0.0000  0.0000
Mn  0.5000  0.5000  0.2102
Cu  0.0000  0.0000  0.4394
Ag  0.5000  0.5000  0.7063

Output
**Space group**: Pmm2, No. 25

=====

x.
First-principles (PBE) data for a relaxed Mn2CuAg crystal, as listed in the Alexandria database.

Unit cell a=4.6657 b=4.6657 c=2.8640 alpha=90.20 beta=90.20 gamma=105.21
Positions (direct):
Mn  0.0000  0.5000  0.0000
Mn  0.5000  0.0000  0.0000
Cu  0.0000  0.0000  0.5000
Ag  0.5000  0.5000  0.5000

Output
**Space group**: C2/m, No. 12

=====

List of relative energies, unit meV/atom: w 0; x 120

=====

w.
First-principles (PBE) data for a relaxed Mn2CuAg crystal, as listed in the Alexandria database.

Unit cell a=9.0108 b=9.0108 c=9.0108 alpha=17.63 beta=17.63 gamma=17.63
Positions (direct):
Mn  0.2445  0.2445  0.2445
Mn  0.7555  0.7555  0.7555
Cu  0.5000  0.5000  0.5000
Ag  0.0000  0.0000  0.0000

Output
**Space group**: R-3m, No. 166

=====

x.
First-principles (PBE) data for a relaxed Mn2CuAg crystal, as listed in the Alexandria database.

Unit cell a=4.7130 b=4.7130 c=4.7130 alpha=130.10 beta=130.10 gamma=73.24
Positions (direct):
Mn  0.2500  0.7500  0.5000
Mn  0.7500  0.2500  0.5000
Cu  0.0000  0.0000  0.0000
Ag  0.5000  0.5000  0.0000

Output
**Space group**: I4/mmm, No. 139

=====

List of relative energies, unit meV/atom: w 42; x 0

=====

w.
First-principles (PBE) data for a relaxed Mn2CuAg crystal, as listed in the Alexandria database.

Unit cell a=4.8033 b=4.8033 c=4.6950 alpha=101.61 beta=101.61 gamma=34.29
Positions (direct):
Mn  0.0000  0.0000  0.0000
Mn  0.2465  0.2465  0.7276
Cu  0.7419  0.7419  0.2105
Ag  0.4903  0.4903  0.4876

Output
**Space group**: Cm, No. 8

=====

x.
First-principles (PBE) data for a relaxed Mn2CuAg crystal, as listed in the Alexandria database.

Unit cell a=4.7564 b=4.7564 c=4.7590 alpha=101.55 beta=101.55 gamma=34.27
Positions (direct):
Mn  0.2423  0.2423  0.2372
Mn  0.7577  0.7577  0.7628
Cu  0.5000  0.5000  0.0000
Ag  0.0000  0.0000  0.5000

Output
**Space group**: C2/m, No. 12

=====

List of relative energies, unit meV/atom: w 0; x 33

=====

w.
First-principles (PBE) data for a relaxed Mn2CuAg crystal, as listed in the Alexandria database.

Unit cell a=4.1902 b=4.1902 c=4.1902 alpha=60.00 beta=60.00 gamma=60.00
Positions (direct):
Mn  0.2500  0.2500  0.2500
Mn  0.7500  0.7500  0.7500
Cu  0.0000  0.0000  0.0000
Ag  0.5000  0.5000  0.5000

Output
**Space group**: Fm-3m, No. 225

=====

x.
First-principles (PBE) data for a relaxed Mn2CuAg crystal, as listed in the Alexandria database.

Unit cell a=4.3790 b=4.3790 c=4.3790 alpha=60.00 beta=60.00 gamma=60.00
Positions (direct):
Mn  0.0000  0.0000  0.0000
Mn  0.2500  0.2500  0.2500
Cu  0.5000  0.5000  0.5000
Ag  0.7500  0.7500  0.7500

Output
**Space group**: F-43m, No. 216

=====

List of relative energies, unit meV/atom: w 529; x 0

=====

w.
First-principles (PBE) data for a relaxed MnCuAg crystal, as listed in the Alexandria database.

Unit cell a=4.2127 b=4.2127 c=4.2127 alpha=60.00 beta=60.00 gamma=60.00
Positions (direct):
Mn  0.0000  0.0000  0.0000
Cu  0.7500  0.7500  0.7500
Ag  0.5000  0.5000  0.5000

Output
**Space group**: F-43m, No. 216

=====

x.
First-principles (PBE) data for a relaxed MnCuAg crystal, as listed in the Alexandria database.

Unit cell a=4.9068 b=4.9068 c=4.9068 alpha=141.84 beta=141.84 gamma=55.07
Positions (direct):
Mn  0.0000  0.0000  0.0000
Cu  0.3535  0.3535  0.0000
Ag  0.6801  0.6801  0.0000

Output
**Space group**: I4mm, No. 107

=====

y.
First-principles (PBE) data for a relaxed MnCuAg crystal, as listed in the Alexandria database.

Unit cell a=4.3652 b=4.3652 c=2.7225 alpha=90.00 beta=90.00 gamma=120.00
Positions (direct):
Mn  0.0000  0.0000  0.0000
Cu  0.3333  0.6667  0.7405
Ag  0.6667  0.3333  0.3912

Output
**Space group**: P3m1, No. 156

=====

List of relative energies, unit meV/atom: w 305; x 0; y 94